(1)
Compound: Ni2Pt2Rh
Source: the Alexandria database
Functional: PBE
Structure: relaxed

Its crystal system is monoclinic. The total DFT energy (no corrections) comes out at -29.4 eV/f.u. The calculation puts the formation energy at 1.64 eV per formula unit.

The space group is C2/m (No. 12) and the conventional cell measures 4.506, 6.532 and 5.197 Å, with angles of 90.00, 90.09 and 90.00 degrees. The inequivalent atoms are Ni at (0.000, 0.171, 0.000), Pt at (0.001, 0.500, 0.749) and Rh at (0.000, 0.000, 0.500).


(2)
Compound: ErHfSc3
Source: the Alexandria database
Functional: PBE
Structure: relaxed

Its crystal system is orthorhombic. The total DFT energy (no corrections) comes out at -33.1 eV/f.u. The calculation puts the formation energy at 0.37 eV per formula unit.

The space group is Pmma (No. 51) and the conventional cell measures 5.154, 3.239 and 14.757 Å, with angles of 90.00, 90.00 and 90.00 degrees. The inequivalent atoms are Er at (0.250, 0.000, 0.145), Hf at (0.250, 0.500, 0.355), Sc at (0.250, 0.000, 0.546), Sc at (0.250, 0.000, 0.739) and Sc at (0.250, 0.500, 0.937).


(3)
Compound: ZnCu2Au
Source: the Alexandria database
Functional: PBE
Structure: relaxed

Its crystal system is orthorhombic. The total DFT energy (no corrections) comes out at -13.2 eV/f.u. The calculation puts the formation energy at -0.41 eV per formula unit.

The space group is Immm (No. 71) and the conventional cell measures 3.831, 3.843 and 7.685 Å, with angles of 90.00, 90.00 and 90.00 degrees. The inequivalent atoms are Zn at (0.000, 0.000, 0.000), Cu at (0.000, 0.500, 0.250) and Au at (0.000, 0.000, 0.500).


(4)
Compound: BeZn2Re
Source: the Alexandria database
Functional: PBE
Structure: relaxed

Its crystal system is orthorhombic. The total DFT energy (no corrections) comes out at -18.0 eV/f.u. The calculation puts the formation energy at 0.77 eV per formula unit.

The space group is Cmm2 (No. 35) and the conventional cell measures 3.022, 4.340 and 8.230 Å, with angles of 90.00, 90.00 and 90.00 degrees. The inequivalent atoms are Be at (0.000, 0.000, 0.000), Zn at (0.000, 0.000, 0.508), Zn at (0.000, 0.500, 0.234) and Re at (0.000, 0.500, 0.779).


(5)
Compound: CePm2TlC
Source: the Alexandria database
Functional: PBE
Structure: relaxed

Its crystal system is tetragonal. The total DFT energy (no corrections) comes out at -28.5 eV/f.u. The calculation puts the formation energy at -1.52 eV per formula unit.

The space group is P4/mmm (No. 123) and the conventional cell measures 5.130, 5.130 and 4.906 Å, with angles of 90.00, 90.00 and 90.00 degrees. The inequivalent atoms are Ce at (0.000, 0.000, 0.000), Pm at (0.000, 0.500, 0.500), Tl at (0.500, 0.500, 0.000) and C at (0.000, 0.000, 0.500).


(6)
Compound: Al2OsSe
Source: the Alexandria database
Functional: PBE
Structure: relaxed

Its crystal system is monoclinic. The total DFT energy (no corrections) comes out at -22.8 eV/f.u. As for the uncorrected formation energy: -0.16 eV per atom.

The space group is P2/m (No. 10) and the conventional cell measures 3.216, 3.200 and 6.166 Å, with angles of 90.00, 97.61 and 90.00 degrees. The inequivalent atoms are Al at (0.044, 0.000, 0.225), Os at (0.500, 0.500, 0.000) and Se at (0.500, 0.500, 0.500).


(7)
Compound: Li2GeHN
Source: the Alexandria database
Functional: PBE
Structure: relaxed

Its crystal system is tetragonal. The total DFT energy (no corrections) comes out at -18.8 eV/f.u.

The space group is P4/mmm (No. 123) and the conventional cell measures 3.506, 3.506 and 4.035 Å, with angles of 90.00, 90.00 and 90.00 degrees. The inequivalent atoms are Li at (0.000, 0.500, 0.000), Ge at (0.000, 0.000, 0.500), H at (0.000, 0.000, 0.000) and N at (0.500, 0.500, 0.500).


(8)
Compound: PrCu2Hg
Source: the Alexandria database
Functional: PBE
Structure: relaxed

Its crystal system is tetragonal. The total DFT energy (no corrections) comes out at -14.2 eV/f.u. The calculation puts the formation energy at -0.93 eV per formula unit.

The space group is P4/nmm (No. 129, origin choice 2) and the conventional cell measures 4.107, 4.107 and 9.859 Å, with angles of 90.00, 90.00 and 90.00 degrees. The inequivalent atoms are Pr at (0.250, 0.250, 0.239), Cu at (0.250, 0.250, 0.858), Cu at (0.250, 0.750, 0.000) and Hg at (0.250, 0.250, 0.579).


(9)
Compound: SbPIrI2
Source: the Alexandria database
Functional: PBE
Structure: relaxed

Its crystal system is tetragonal. The total DFT energy (no corrections) comes out at -17.0 eV/f.u. As for the uncorrected formation energy: 0.91 eV per atom.

The space group is P4/mmm (No. 123) and the conventional cell measures 5.432, 5.432 and 5.038 Å, with angles of 90.00, 90.00 and 90.00 degrees. The inequivalent atoms are Sb at (0.000, 0.000, 0.000), P at (0.500, 0.500, 0.000), Ir at (0.000, 0.000, 0.500) and I at (0.000, 0.500, 0.500).


(10)
Compound: V5Si2As
Source: the Alexandria database
Functional: PBE
Structure: relaxed

Its crystal system is tetragonal. The total DFT energy (no corrections) comes out at -65.2 eV/f.u. As for the uncorrected formation energy: -0.52 eV per atom.

The space group is I4/mcm (No. 140) and the conventional cell measures 6.217, 6.217 and 11.137 Å, with angles of 90.00, 90.00 and 90.00 degrees. The inequivalent atoms are V at (0.000, 0.000, 0.000), V at (0.163, 0.337, 0.150), Si at (0.134, 0.366, 0.500) and As at (0.000, 0.000, 0.250).


(11)
Compound: CuPb2W
Source: the Alexandria database
Functional: PBE
Structure: relaxed

Its crystal system is tetragonal. The total DFT energy (no corrections) comes out at -20.7 eV/f.u. The calculation puts the formation energy at 3.77 eV per formula unit.

The space group is I-4m2 (No. 119) and the conventional cell measures 4.111, 4.111 and 9.664 Å, with angles of 90.00, 90.00 and 90.00 degrees. The inequivalent atoms are Cu at (0.000, 0.000, 0.000), Pb at (0.000, 0.000, 0.500), Pb at (0.000, 0.500, 0.750) and W at (0.000, 0.500, 0.250).


(12)
Compound: Ba2Sr4Ca
Source: the Alexandria database
Functional: PBE
Structure: relaxed

Its crystal system is orthorhombic. The total DFT energy (no corrections) comes out at -11.8 eV/f.u. The calculation puts the formation energy at 0.77 eV per formula unit.

The space group is Cmmm (No. 65) and the conventional cell measures 7.041, 27.733 and 4.000 Å, with angles of 90.00, 90.00 and 90.00 degrees. The inequivalent atoms are Ba at (0.000, 0.213, 0.000), Sr at (0.000, 0.073, 0.500), Sr at (0.000, 0.370, 0.000) and Ca at (0.000, 0.500, 0.500).